No. 1
Compound: CeThS4
Source: Alexandria
Functional: PBE
Structure: relaxed

Lattice parameters (Å, degrees): 6.6160 6.6160 8.1141 114.06 114.06 90.00
Fractional coordinates of all 12 atoms:
S 0.8750 0.3720 0.2500
S 0.1220 0.6250 0.7500
S 0.3750 0.3720 0.2500
Ce 0.7500 0.2500 0.5000
S 0.8750 0.8780 0.2500
S 0.1220 0.1250 0.7500
S 0.6280 0.6250 0.7500
S 0.6280 0.1250 0.7500
Th 0.2500 0.7500 0.5000
S 0.3750 0.8780 0.2500
Ce 0.0000 0.0000 0.0000
Th 0.5000 0.5000 0.0000

Computed properties:
formation energy (no corrections): -1895.1 meV per atom

No. 2
Compound: RbInGe
Source: Alexandria
Functional: PBE
Structure: relaxed

Lattice parameters (Å, degrees): 7.3942 6.5652 4.6229 102.79 75.27 77.21
Fractional coordinates of all 6 atoms:
In 0.9536 0.7793 0.9874
Rb 0.6224 0.2134 0.7299
Ge 0.8219 0.6135 0.4873
Ge 0.1781 0.3865 0.5127
Rb 0.3776 0.7866 0.2701
In 0.0464 0.2207 0.0126

Computed properties:
formation energy from the elements: -0.07 eV per atom
DOS(E_F): 0.0436 states/eV per atom